Cs5Pu2Br12 | PBE | optimized geometry

Properties
Total magnetic moment in μB per formula unit: 8.80
E_form (uncorrected) in eV/atom: -1.578
VASP energy in eV/cell: -83.0
Space-group type: C2/m, No. 12
D(E_F) in states/eV/atom: 1.479

Structure (extended XYZ):
```
19
Lattice="-3.1592 -5.0716 6.3607 -2.9112 -3.2366 -10.0134 10.6962 -4.1974 1.9660" Properties=species:S:1:pos:R:3 pbc="T T T"
Cs 3.9942 -6.0188 -2.8151
Cs -0.8720 -4.3216 -3.8788
Cs 5.3481 -2.0987 0.9830
Cs 5.4978 -8.1840 2.1921
Cs 0.6316 -6.4868 1.1284
Pu -2.3705 -3.8054 4.7727
Pu -0.7887 -1.2661 1.5880
Br 1.7148 -0.7757 0.2333
Br 7.5802 -6.7808 -4.5618
Br 6.0391 -9.2546 -1.4592
Br 2.1656 -4.5709 -5.5484
Br 0.5933 -7.0949 -2.3828
Br 4.4605 -9.2066 -5.1253
Br 0.1653 -3.2989 3.4386
Br 2.4602 -7.9347 3.8617
Br 4.0325 -5.4107 0.6961
Br -2.9543 -5.7248 2.8751
Br -1.4133 -3.2510 -0.2275
Br 2.9111 -11.7299 -1.9200
```